## TbGe2MoO8 (PBE+U)

Data for an optimized crystal structure of TbGe2MoO8.

Raw total energy: -84.0 eV/cell
Space-group type: I-4m2 (119)
M_tot: 1.00 μB per formula unit

a b c (Å): 5.796 5.796 5.796
angles (deg): 106.89 106.89 114.78
Positions (direct):
Tb  0.000  0.000  0.000
Ge  0.500  0.500  0.000
Ge  0.750  0.250  0.500
Mo  0.250  0.750  0.500
O  0.315  0.120  0.806
O  0.315  0.509  0.194
O  0.368  0.041  0.328
O  0.491  0.685  0.806
O  0.713  0.041  0.672
O  0.880  0.685  0.194
O  0.959  0.287  0.328
O  0.959  0.632  0.672